DFT (PBE) results for an optimized crystal structure of BaHRhAu2.

Total DFT energy (no corrections) = -13.76 eV per cell
Magnetization = 0.3352 μB per atom

Unit cell a=5.922 b=5.922 c=4.204 alpha=90.00 beta=90.00 gamma=90.00
Space group P4/mmm (No. 123)
Asymmetric unit:
Ba1 0.000 0.000 0.000 (multiplicity 1)
H1 0.000 0.000 0.500 (multiplicity 1)
Rh1 0.500 0.500 0.500 (multiplicity 1)
Au1 0.000 0.500 0.000 (multiplicity 2)